Density functional theory data (PBE-GGA) for a geometry-optimized Li3Ce3Ge8 structure.

Summary:
E_form (eV/atom): -0.432
DFT total energy (eV per atom): -4.7519
V (Å³/atom): 20.443

Cell: 9.331 9.331 9.331 Å, 155.40 121.51 64.42°
Element x y z (fractional)
Li (0.000, 0.000, 0.000)
Li (0.199, 0.500, 0.699)
Li (0.801, 0.500, 0.301)
Ce (0.229, 0.729, 0.500)
Ce (0.500, 0.000, 0.500)
Ce (0.771, 0.271, 0.500)
Ge (0.064, 0.876, 0.189)
Ge (0.220, 0.362, 0.858)
Ge (0.313, 0.124, 0.189)
Ge (0.496, 0.638, 0.858)
Ge (0.504, 0.362, 0.142)
Ge (0.687, 0.876, 0.811)
Ge (0.780, 0.638, 0.142)
Ge (0.936, 0.124, 0.811)


Density functional theory data (PBE-GGA) for a geometry-optimized Li3Ce5Ge4 structure.

Summary:
E_form (eV/atom): -0.319
DFT total energy (eV per atom): -4.8094
V (Å³/atom): 24.036

Cell: 6.296 10.280 10.280 Å, 25.69 90.00 90.00°
Element x y z (fractional)
Li (0.000, 0.000, 0.000)
Li (0.000, 0.425, 0.425)
Li (0.500, 0.107, 0.107)
Ce (0.000, 0.621, 0.621)
Ce (0.000, 0.797, 0.797)
Ce (0.500, 0.494, 0.494)
Ce (0.500, 0.736, 0.736)
Ce (0.500, 0.912, 0.912)
Ge (0.202, 0.199, 0.199)
Ge (0.293, 0.335, 0.335)
Ge (0.707, 0.335, 0.335)
Ge (0.798, 0.199, 0.199)


Density functional theory data (PBE-GGA) for a geometry-optimized Li2Ce2Ge3 structure.

Summary:
E_form (eV/atom): -0.631
DFT total energy (eV per atom): -4.8517
V (Å³/atom): 20.329

Cell: 9.580 9.580 6.873 Å, 90.00 90.00 153.18°
Element x y z (fractional)
Li (0.191, 0.809, 0.562)
Li (0.191, 0.809, 0.938)
Li (0.809, 0.191, 0.062)
Li (0.809, 0.191, 0.438)
Ce (0.343, 0.657, 0.750)
Ce (0.450, 0.550, 0.250)
Ce (0.550, 0.450, 0.750)
Ce (0.657, 0.343, 0.250)
Ge (0.063, 0.937, 0.064)
Ge (0.063, 0.937, 0.436)
Ge (0.279, 0.721, 0.250)
Ge (0.721, 0.279, 0.750)
Ge (0.937, 0.063, 0.564)
Ge (0.937, 0.063, 0.936)


Density functional theory data (PBE-GGA) for a geometry-optimized Li2CeGe structure.

Summary:
E_form (eV/atom): -0.302
DFT total energy (eV per atom): -3.8962
V (Å³/atom): 17.992

Cell: 4.669 4.669 4.669 Å, 60.00 60.00 60.00°
Element x y z (fractional)
Li (0.250, 0.250, 0.250)
Li (0.750, 0.750, 0.750)
Ce (0.000, 0.000, 0.000)
Ge (0.500, 0.500, 0.500)


Density functional theory data (PBE-GGA) for a geometry-optimized LiCe4Ge8 structure.

Summary:
E_form (eV/atom): -0.578
DFT total energy (eV per atom): -5.3923
V (Å³/atom): 21.771

Cell: 4.027 4.177 16.825 Å, 90.00 90.00 90.00°
Element x y z (fractional)
Li (0.000, 0.000, 0.000)
Ce (0.000, 0.000, 0.780)
Ce (0.000, 0.500, 0.291)
Ce (0.500, 0.000, 0.571)
Ce (0.500, 0.500, 0.078)
Ge (0.000, 0.000, 0.144)
Ge (0.000, 0.000, 0.430)
Ge (0.000, 0.500, 0.626)
Ge (0.000, 0.500, 0.919)
Ge (0.500, 0.000, 0.238)
Ge (0.500, 0.000, 0.917)
Ge (0.500, 0.500, 0.433)
Ge (0.500, 0.500, 0.723)


Density functional theory data (PBE-GGA) for a geometry-optimized Li7Ce3Ge4 structure.

Summary:
E_form (eV/atom): -0.451
DFT total energy (eV per atom): -3.9987
V (Å³/atom): 19.280

Cell: 8.487 8.487 8.422 Å, 119.47 119.47 31.17°
Element x y z (fractional)
Li (0.000, 0.000, 0.000)
Li (0.149, 0.149, 0.955)
Li (0.335, 0.335, 0.490)
Li (0.489, 0.489, 0.805)
Li (0.511, 0.511, 0.195)
Li (0.665, 0.665, 0.510)
Li (0.851, 0.851, 0.045)
Ce (0.000, 0.000, 0.500)
Ce (0.271, 0.271, 0.774)
Ce (0.729, 0.729, 0.226)
Ge (0.135, 0.135, 0.328)
Ge (0.358, 0.358, 0.213)
Ge (0.642, 0.642, 0.787)
Ge (0.865, 0.865, 0.672)


Density functional theory data (PBE-GGA) for a geometry-optimized Li2CeGe structure.

Summary:
E_form (eV/atom): 0.047
DFT total energy (eV per atom): -3.5481
V (Å³/atom): 20.215

Cell: 10.968 10.968 10.968 Å, 15.38 15.38 15.38°
Element x y z (fractional)
Li (0.098, 0.098, 0.098)
Li (0.902, 0.902, 0.902)
Ce (0.000, 0.000, 0.000)
Ge (0.500, 0.500, 0.500)


Density functional theory data (PBE-GGA) for a geometry-optimized Li2CeGe structure.

Summary:
E_form (eV/atom): -0.229
DFT total energy (eV per atom): -3.8242
V (Å³/atom): 18.366

Cell: 4.781 4.781 7.423 Å, 90.00 90.00 120.00°
Element x y z (fractional)
Li (0.333, 0.667, 0.105)
Li (0.333, 0.667, 0.395)
Li (0.667, 0.333, 0.605)
Li (0.667, 0.333, 0.895)
Ce (0.000, 0.000, 0.000)
Ce (0.000, 0.000, 0.500)
Ge (0.333, 0.667, 0.750)
Ge (0.667, 0.333, 0.250)